Entry from Alexandria: a relaxed structure of Sm4DyY7 (PBE-GGA).

The calculation puts the distance to the lowest polymorph of the same formula at 0.000 eV per atom. For the total energy, the calculation gives -5.64 eV per atom. The volume comes out at 33.020 Å³ per atom. The total magnetization is 0.000 μB per atom. The calculated formation energy is 0.085 eV per atom.

It has space group P-1 (No. 2), with a = 6.570 Å, b = 6.857 Å, c = 9.123 Å, α = 85.60°, β = 77.09° and γ = 81.92°. The asymmetric unit holds Sm at (0.140, 0.314, 0.283), Sm at (0.339, 0.881, 0.694), Dy at (0.500, 0.500, 0.000), Y at (0.010, 0.252, 0.951), Y at (0.178, 0.807, 0.361), Y at (0.313, 0.391, 0.617) and Y at (0.500, 0.000, 0.000).


Entry from Alexandria: a relaxed structure of Ac3Sn2Pb (PBE-GGA).

The calculation puts the distance to the lowest polymorph of the same formula at 0.026 eV per atom. For the total energy, the calculation gives -4.56 eV per atom. The volume comes out at 36.793 Å³ per atom. The total magnetization is 0.000 μB per atom. The calculated formation energy is -0.556 eV per atom.

It has space group Pnma (No. 62), with a = 13.639 Å, b = 4.972 Å, c = 13.022 Å, α = 90.00°, β = 90.00° and γ = 90.00°. The asymmetric unit holds Ac at (0.044, 0.250, 0.120), Ac at (0.125, 0.750, 0.564), Ac at (0.215, 0.250, 0.802), Sn at (0.001, 0.750, 0.306), Sn at (0.187, 0.750, 0.023) and Pb at (0.131, 0.250, 0.371).


Entry from Alexandria: a relaxed structure of CdPSe2 (PBE-GGA).

The calculation puts the distance to the lowest polymorph of the same formula at 0.000 eV per atom. For the total energy, the calculation gives -3.35 eV per atom. The volume comes out at 24.608 Å³ per atom. The value obtained for the formation energy (no corrections) is -0.03 eV per atom. The total magnetization is 0.000 μB per atom.

It has space group Cm (No. 8), with a = 11.610 Å, b = 4.113 Å, c = 4.150 Å, α = 90.00°, β = 96.64° and γ = 90.00°. The asymmetric unit holds Cd at (0.000, 0.000, 0.000), P at (0.289, 0.000, 0.434), Se at (0.264, 0.500, 0.121) and Se at (0.491, 0.000, 0.525).


Entry from Alexandria: a relaxed structure of SrGaBr (PBE-GGA).

For the total energy, the calculation gives -3.39 eV per atom. The volume comes out at 33.199 Å³ per atom. The value obtained for the formation energy (no corrections) is -1.26 eV per atom. The total magnetization is 0.000 μB per atom.

It has space group C2/m (No. 12), with a = 7.650 Å, b = 4.417 Å, c = 12.069 Å, α = 90.00°, β = 102.34° and γ = 90.00°. The asymmetric unit holds Sr at (0.069, 0.000, 0.204), Ga at (0.165, 0.500, 0.995) and Br at (0.216, 0.000, 0.654).


Entry from Alexandria: a relaxed structure of YCu3Si (PBE-GGA).

The calculation puts the distance to the lowest polymorph of the same formula at 1.516 eV per atom. For the total energy, the calculation gives -3.35 eV per atom. The volume comes out at 25.137 Å³ per atom. The value obtained for the formation energy (no corrections) is 1.48 eV per atom. The total magnetization is 0.000 μB per atom.

It has space group Pm-3m (No. 221), with a = 5.009 Å, b = 5.009 Å, c = 5.009 Å, α = 90.00°, β = 90.00° and γ = 90.00°. The asymmetric unit holds Y at (0.000, 0.000, 0.000), Cu at (0.000, 0.000, 0.500) and Si at (0.500, 0.500, 0.500).


Entry from Alexandria: a relaxed structure of Pr15Y4In (PBE-GGA).

For the total energy, the calculation gives -5.05 eV per atom. The volume comes out at 34.533 Å³ per atom. The total magnetization is 0.000 μB per atom. The calculated formation energy is -0.041 eV per atom.

It has space group P4/mmm (No. 123), with a = 5.153 Å, b = 5.153 Å, c = 26.009 Å, α = 90.00°, β = 90.00° and γ = 90.00°. The asymmetric unit holds Pr at (0.000, 0.000, 0.000), Pr at (0.000, 0.000, 0.197), Pr at (0.000, 0.000, 0.399), Pr at (0.000, 0.500, 0.096), Pr at (0.000, 0.500, 0.298), Pr at (0.000, 0.500, 0.500), Y at (0.500, 0.500, 0.198), Y at (0.500, 0.500, 0.399) and In at (0.500, 0.500, 0.000).


Entry from Alexandria: a relaxed structure of Y4InSbO (PBE-GGA).

For the total energy, the calculation gives -6.67 eV per atom. The volume comes out at 25.149 Å³ per atom. The value obtained for the formation energy (no corrections) is -1.29 eV per atom. The total magnetization is 0.000 μB per atom.

It has space group Cmcm (No. 63), with a = 6.448 Å, b = 17.046 Å, c = 6.407 Å, α = 90.00°, β = 90.00° and γ = 90.00°. The asymmetric unit holds Y at (0.000, 0.068, 0.250), Y at (0.000, 0.421, 0.250), Y at (0.250, 0.250, 0.000), In at (0.000, 0.114, 0.750), Sb at (0.000, 0.388, 0.750) and O at (0.000, 0.276, 0.250).


Entry from Alexandria: a relaxed structure of IrPt2 (PBE-GGA).

The calculation puts the distance to the lowest polymorph of the same formula at 0.092 eV per atom. For the total energy, the calculation gives -6.85 eV per atom. The volume comes out at 15.527 Å³ per atom. The total magnetization is 0.000 μB per atom. The calculated formation energy is 0.132 eV per atom.

It has space group I4/mmm (No. 139), with a = 3.387 Å, b = 3.387 Å, c = 8.120 Å, α = 90.00°, β = 90.00° and γ = 90.00°. The asymmetric unit holds Ir at (0.000, 0.000, 0.000) and Pt at (0.000, 0.000, 0.336).


Entry from Alexandria: a relaxed structure of Mg2AsRh (PBE-GGA).

For the total energy, the calculation gives -4.22 eV per atom. The volume comes out at 16.684 Å³ per atom. The total magnetization is 0.000 μB per atom. The calculated formation energy is -0.425 eV per atom.

It has space group P2/m (No. 10), with a = 3.127 Å, b = 3.647 Å, c = 5.851 Å, α = 90.00°, β = 90.09° and γ = 90.00°. The asymmetric unit holds Mg at (0.000, 0.000, 0.235), As at (0.500, 0.500, 0.500) and Rh at (0.500, 0.500, 0.000).


Entry from Alexandria: a relaxed structure of Sr3BiSb2Au6 (PBE-GGA).

For the total energy, the calculation gives -3.56 eV per atom. The volume comes out at 28.692 Å³ per atom. The value obtained for the formation energy (no corrections) is -0.49 eV per atom. The total magnetization is 0.000 μB per atom.

It has space group P-3m1 (No. 164), with a = 5.8730 Å, b = 5.8730 Å, c = 11.5263 Å, α = 90.00°, β = 90.00° and γ = 120.00°. The asymmetric unit holds Sr at (0.0000, 0.0000, 0.0000), Sr at (0.3333, 0.6667, 0.6160), Bi at (0.0000, 0.0000, 0.5000), Sb at (0.3333, 0.6667, 0.0801) and Au at (0.1617, 0.3234, 0.2623).


Entry from Alexandria: a relaxed structure of Pr2As3PdRh4 (PBE-GGA).

For the total energy, the calculation gives -6.64 eV per atom. The volume comes out at 18.694 Å³ per atom. The total magnetization is 0.000 μB per atom. The calculated formation energy is -0.827 eV per atom.

It has space group P-4m2 (No. 115), with a = 4.211 Å, b = 4.211 Å, c = 10.541 Å, α = 90.00°, β = 90.00° and γ = 90.00°. The asymmetric unit holds Pr at (0.000, 0.500, 0.239), As at (0.000, 0.000, 0.000), As at (0.000, 0.500, 0.631), Pd at (0.500, 0.500, 0.000), Rh at (0.000, 0.000, 0.500), Rh at (0.000, 0.500, 0.856) and Rh at (0.500, 0.500, 0.500).


Entry from Alexandria: a relaxed structure of BaPtSe2O8 (PBE-GGA).

For the total energy, the calculation gives -5.57 eV per atom. The volume comes out at 18.672 Å³ per atom. The value obtained for the formation energy (no corrections) is -1.02 eV per atom. The total magnetization is 0.000 μB per atom.

It has space group C2/m (No. 12), with a = 11.354 Å, b = 5.353 Å, c = 8.394 Å, α = 90.00°, β = 118.56° and γ = 90.00°. The asymmetric unit holds Ba at (0.000, 0.000, 0.000), Pt at (0.000, 0.000, 0.500), Se at (0.104, 0.500, 0.774), O at (0.001, 0.244, 0.317), O at (0.134, 0.500, 0.989) and O at (0.235, 0.500, 0.740).